Here is a relaxed structure of CeDy2Sb from Alexandria. Energies are from GGA-PBE.

The density of states at the Fermi level is 1.91 states/eV per atom. The calculation puts the energy above the most stable polymorph in this dataset at 0.94 eV per formula unit. Its uncorrected formation energy is -5.7 kcal/mol of atoms.

The space group is R3m (No. 160, hexagonal axes) and the conventional cell measures 3.9821, 3.9821 and 28.9651 Å, with angles of 90.00, 90.00 and 120.00 degrees. The asymmetric unit holds Ce at (0.0000, 0.0000, 0.0000), Dy at (0.0000, 0.0000, 0.5664), Dy at (0.0000, 0.0000, 0.7658) and Sb at (0.0000, 0.0000, 0.1658).

---

Here is a relaxed structure of Ce5DySb5 from Alexandria. Energies are from GGA-PBE.

The density of states at the Fermi level is 3.28 states/eV per atom. Its uncorrected formation energy is -19.3 kcal/mol of atoms.

The space group is C2/m (No. 12) and the conventional cell measures 14.052, 6.301 and 8.893 Å, with angles of 90.00, 108.67 and 90.00 degrees. The asymmetric unit holds Ce at (0.000, 0.000, 0.000), Ce at (0.165, 0.500, 0.331), Ce at (0.169, 0.500, 0.833), Dy at (0.000, 0.000, 0.500), Sb at (0.000, 0.500, 0.500), Sb at (0.165, 0.000, 0.831) and Sb at (0.166, 0.000, 0.337).

---

What is the formula in the second record?
Ce5DySb5